## TaRuAu2 (GGA-PBEsol)

Data for a geometry-optimized TaRuAu2 structure.

Geometry as POSCAR:
```
TaRuAu2
1.0
3.085 0.000 0.000
0.000 3.630 0.000
0.000 0.000 5.764
Ta Ru Au
1 1 2
Direct
0.000 0.000 0.000
0.500 0.500 0.791
0.000 0.000 0.523
0.500 0.500 0.275
```

Computed properties:
ΔE_f, eV per formula unit: -0.36
E above lowest polymorph, meV per atom: 0